[1]
TlNiBiSb2 after structural relaxation, computed with GGA-PBE.

The structure in CIF format:
```
data_TlNiBiSb2
_chemical_formula_sum 'Tl1 Ni1 Bi1 Sb2'
_cell_length_a 5.987
_cell_length_b 5.987
_cell_length_c 4.790
_cell_angle_alpha 90.00
_cell_angle_beta 90.00
_cell_angle_gamma 90.00
_space_group_name_H-M_alt 'P 4/m m m'
_space_group_IT_number 123
_space_group_name_Hall '-P 4 2'
loop_
_atom_site_label
_atom_site_fract_x
_atom_site_fract_y
_atom_site_fract_z
Tl1 0.000 0.000 0.000
Ni1 0.500 0.500 0.000
Bi1 0.500 0.500 0.500
Sb1 0.000 0.500 0.500
```

Results
Formation energy without anion corrections ... 0.727 eV/atom



[2]
La3NbAg after structural relaxation, computed with GGA-PBE.

The structure in CIF format:
```
data_La3NbAg
_chemical_formula_sum 'La3 Nb1 Ag1'
_cell_length_a 5.571
_cell_length_b 5.571
_cell_length_c 5.571
_cell_angle_alpha 90.00
_cell_angle_beta 90.00
_cell_angle_gamma 90.00
_space_group_name_H-M_alt 'P m -3 m'
_space_group_IT_number 221
_space_group_name_Hall '-P 4 2 3'
loop_
_atom_site_label
_atom_site_fract_x
_atom_site_fract_y
_atom_site_fract_z
La1 0.000 0.000 0.500
Nb1 0.000 0.000 0.000
Ag1 0.500 0.500 0.500
```

Results
E above lowest polymorph ... 0 meV/atom



[3]
ScTePtI2 after structural relaxation, computed with GGA-PBE.

The structure in CIF format:
```
data_ScTePtI2
_chemical_formula_sum 'Sc1 Te1 Pt1 I2'
_cell_length_a 5.398
_cell_length_b 5.398
_cell_length_c 5.438
_cell_angle_alpha 90.00
_cell_angle_beta 90.00
_cell_angle_gamma 90.00
_space_group_name_H-M_alt 'P 4/m m m'
_space_group_IT_number 123
_space_group_name_Hall '-P 4 2'
loop_
_atom_site_label
_atom_site_fract_x
_atom_site_fract_y
_atom_site_fract_z
Sc1 0.000 0.000 0.000
Te1 0.500 0.500 0.000
Pt1 0.500 0.500 0.500
I1 0.000 0.500 0.500
```

Results
E above lowest polymorph ... 0 meV/atom
Formation energy without anion corrections ... 0.084 eV/atom



[4]
BeVAu after structural relaxation, computed with GGA-PBE.

The structure in CIF format:
```
data_BeVAu
_chemical_formula_sum 'Be2 V2 Au2'
_cell_length_a 2.761
_cell_length_b 2.761
_cell_length_c 10.351
_cell_angle_alpha 90.00
_cell_angle_beta 90.00
_cell_angle_gamma 90.00
_space_group_name_H-M_alt 'I 4 m m'
_space_group_IT_number 107
_space_group_name_Hall 'I 4 -2'
loop_
_atom_site_label
_atom_site_fract_x
_atom_site_fract_y
_atom_site_fract_z
Be1 0.000 0.000 0.000
V1 0.000 0.000 0.353
Au1 0.000 0.000 0.651
```

Results
E above lowest polymorph ... 46 meV/atom



[5]
Tb3Si2SbRh9 after structural relaxation, computed with GGA-PBE.

The structure in CIF format:
```
data_Tb3Si2SbRh9
_chemical_formula_sum 'Tb3 Si2 Sb1 Rh9'
_cell_length_a 6.1512
_cell_length_b 6.1512
_cell_length_c 9.1682
_cell_angle_alpha 90.00
_cell_angle_beta 90.00
_cell_angle_gamma 120.00
_space_group_name_H-M_alt 'P -3 m 1'
_space_group_IT_number 164
_space_group_name_Hall '-P 3 2"'
loop_
_atom_site_label
_atom_site_fract_x
_atom_site_fract_y
_atom_site_fract_z
Tb1 0.0000 0.0000 0.0000
Tb2 0.3333 0.6667 0.7355
Si1 0.3333 0.6667 0.1628
Sb1 0.0000 0.0000 0.5000
Rh1 0.0000 0.5000 0.0000
Rh2 0.1466 0.2933 0.2701
```

Results
Formation energy without anion corrections ... -0.581 eV/atom



[6]
ScCr3Co after structural relaxation, computed with GGA-PBE.

The structure in CIF format:
```
data_ScCr3Co
_chemical_formula_sum 'Sc1 Cr3 Co1'
_cell_length_a 4.216
_cell_length_b 4.216
_cell_length_c 4.216
_cell_angle_alpha 90.00
_cell_angle_beta 90.00
_cell_angle_gamma 90.00
_space_group_name_H-M_alt 'P m -3 m'
_space_group_IT_number 221
_space_group_name_Hall '-P 4 2 3'
loop_
_atom_site_label
_atom_site_fract_x
_atom_site_fract_y
_atom_site_fract_z
Sc1 0.000 0.000 0.000
Cr1 0.000 0.000 0.500
Co1 0.500 0.500 0.500
```

Results
E above lowest polymorph ... 1303 meV/atom



[7]
Sr3HfNp2As6 after structural relaxation, computed with GGA-PBE.

The structure in CIF format:
```
data_Sr3HfNp2As6
_chemical_formula_sum 'Sr6 Hf2 Np4 As12'
_cell_length_a 7.237
_cell_length_b 12.536
_cell_length_c 7.491
_cell_angle_alpha 90.00
_cell_angle_beta 108.81
_cell_angle_gamma 90.00
_space_group_name_H-M_alt 'C 1 2/m 1'
_space_group_IT_number 12
loop_
_space_group_symop_operation_xyz
'x,y,z'
'-x,-y,-z'
'-x,y,-z'
'x,-y,z'
'x+1/2,y+1/2,z'
'-x+1/2,-y+1/2,-z'
'-x+1/2,y+1/2,-z'
'x+1/2,-y+1/2,z'
loop_
_atom_site_label
_atom_site_fract_x
_atom_site_fract_y
_atom_site_fract_z
Sr1 0.000 0.000 0.000
Sr2 0.000 0.332 0.000
Hf1 0.000 0.500 0.500
Np1 0.000 0.166 0.500
As1 0.233 0.338 0.713
As2 0.247 0.000 0.713
```

Results
Energy ... -6.696 eV per atom



[8]
Ca2FeSe after structural relaxation, computed with GGA-PBE.

The structure in CIF format:
```
data_Ca2FeSe
_chemical_formula_sum 'Ca2 Fe1 Se1'
_cell_length_a 3.636
_cell_length_b 3.636
_cell_length_c 7.084
_cell_angle_alpha 90.00
_cell_angle_beta 90.00
_cell_angle_gamma 90.00
_space_group_name_H-M_alt 'P 4/m m m'
_space_group_IT_number 123
_space_group_name_Hall '-P 4 2'
loop_
_atom_site_label
_atom_site_fract_x
_atom_site_fract_y
_atom_site_fract_z
Ca1 0.000 0.000 0.241
Fe1 0.500 0.500 0.500
Se1 0.500 0.500 0.000
```

Results
E above lowest polymorph ... 23 meV/atom
Formation energy without anion corrections ... -0.487 eV/atom



[9]
K2Np2FeSe6 after structural relaxation, computed with GGA-PBE.

The structure in CIF format:
```
data_K2Np2FeSe6
_chemical_formula_sum 'K4 Np4 Fe2 Se12'
_cell_length_a 7.010
_cell_length_b 12.058
_cell_length_c 8.209
_cell_angle_alpha 90.00
_cell_angle_beta 106.62
_cell_angle_gamma 90.00
_space_group_name_H-M_alt 'C 1 2/m 1'
_space_group_IT_number 12
loop_
_space_group_symop_operation_xyz
'x,y,z'
'-x,-y,-z'
'-x,y,-z'
'x,-y,z'
'x+1/2,y+1/2,z'
'-x+1/2,-y+1/2,-z'
'-x+1/2,y+1/2,-z'
'x+1/2,-y+1/2,z'
loop_
_atom_site_label
_atom_site_fract_x
_atom_site_fract_y
_atom_site_fract_z
K1 0.000 0.168 0.000
Np1 0.000 0.332 0.500
Fe1 0.000 0.000 0.500
Se1 0.227 0.159 0.695
Se2 0.248 0.000 0.310
```

Results
Formation energy without anion corrections ... -0.955 eV/atom



[10]
HgSb2PtC after structural relaxation, computed with GGA-PBE.

The structure in CIF format:
```
data_HgSb2PtC
_chemical_formula_sum 'Hg1 Sb2 Pt1 C1'
_cell_length_a 4.823
_cell_length_b 4.823
_cell_length_c 4.337
_cell_angle_alpha 90.00
_cell_angle_beta 90.00
_cell_angle_gamma 90.00
_space_group_name_H-M_alt 'P 4/m m m'
_space_group_IT_number 123
_space_group_name_Hall '-P 4 2'
loop_
_atom_site_label
_atom_site_fract_x
_atom_site_fract_y
_atom_site_fract_z
Hg1 0.000 0.000 0.000
Sb1 0.000 0.500 0.500
Pt1 0.500 0.500 0.000
C1 0.000 0.000 0.500
```

Results
Formation energy without anion corrections ... 0.988 eV/atom



[11]
Na2LiP2 after structural relaxation, computed with GGA-PBE.

The structure in CIF format:
```
data_Na2LiP2
_chemical_formula_sum 'Na4 Li2 P4'
_cell_length_a 4.282
_cell_length_b 4.282
_cell_length_c 11.796
_cell_angle_alpha 90.00
_cell_angle_beta 90.00
_cell_angle_gamma 90.00
_space_group_name_H-M_alt 'I 4/m m m'
_space_group_IT_number 139
_space_group_name_Hall '-I 4 2'
loop_
_atom_site_label
_atom_site_fract_x
_atom_site_fract_y
_atom_site_fract_z
Na1 0.000 0.500 0.250
Li1 0.000 0.000 0.000
P1 0.000 0.000 0.410
```

Results
E above lowest polymorph ... 187 meV/atom



[12]
InOsPt after structural relaxation, computed with GGA-PBE.

The structure in CIF format:
```
data_InOsPt
_chemical_formula_sum 'In2 Os2 Pt2'
_cell_length_a 2.895
_cell_length_b 2.895
_cell_length_c 11.928
_cell_angle_alpha 90.00
_cell_angle_beta 90.00
_cell_angle_gamma 90.00
_space_group_name_H-M_alt 'P 4 m m'
_space_group_IT_number 99
loop_
_space_group_symop_operation_xyz
'x,y,z'
'-y,x,z'
'-x,-y,z'
'y,-x,z'
'-x,y,z'
'y,x,z'
'x,-y,z'
'-y,-x,z'
loop_
_atom_site_label
_atom_site_fract_x
_atom_site_fract_y
_atom_site_fract_z
In1 0.000 0.000 0.000
In2 0.000 0.000 0.348
Os1 0.000 0.000 0.661
Os2 0.500 0.500 0.525
Pt1 0.500 0.500 0.173
Pt2 0.500 0.500 0.830
```

Results
E above lowest polymorph ... 0 meV/atom



Number 1: calculated volume 171.7 Å³ per cell. Number 2: calculated volume 172.9 Å³ per cell. Number 3: calculated volume 158.5 Å³ per cell. Number 4: calculated volume 78.9 Å³ per cell. Number 5: calculated volume 300.4 Å³ per cell. Number 6: calculated volume 74.9 Å³ per cell. Number 7: calculated volume 643.3 Å³ per cell. Number 8: calculated volume 93.7 Å³ per cell. Number 9: calculated volume 664.8 Å³ per cell. Number 10: calculated volume 100.9 Å³ per cell. Number 11: calculated volume 216.2 Å³ per cell. Number 12: calculated volume 100.0 Å³ per cell.